No. 1
First-principles (PBE-GGA) data for a geometry-optimized In2BO6 structure, as listed in the Alexandria database.

Cell and atoms, written as POSCAR:
```
In2BO6
1.0
-3.847 2.496 0.620
-1.080 -2.580 3.686
4.718 5.899 5.512
In B O
4 2 12
Direct
0.000 0.000 0.330
0.500 0.500 0.830
0.500 0.500 0.170
0.000 0.000 0.670
0.000 0.000 0.000
0.500 0.500 0.500
0.319 0.319 0.364
0.681 0.681 0.364
0.181 0.819 0.864
0.819 0.181 0.864
0.181 0.819 0.136
0.819 0.181 0.136
0.319 0.319 0.636
0.681 0.681 0.636
0.243 0.243 0.000
0.757 0.757 0.000
0.257 0.743 0.500
0.743 0.257 0.500
```

Properties
uncorrected formation energy = -7.2 eV per formula unit
N(E_F) = 4.26 states/eV/f.u.
space group = No. 136

=====

No. 2
First-principles (PBE-GGA) data for a geometry-optimized InBO structure, as listed in the Alexandria database.

Cell and atoms, written as POSCAR:
```
InBO
1.0
-0.022 -2.833 -2.321
2.723 1.332 -4.516
1.199 -2.133 8.370
In B O
2 2 2
Direct
0.738 0.108 0.292
0.262 0.892 0.708
0.436 0.804 0.338
0.564 0.196 0.662
0.552 0.588 0.844
0.448 0.412 0.156
```

Properties
uncorrected formation energy = -2.3 eV per formula unit
N(E_F) = 0.80 states/eV/f.u.
space group = No. 2

=====

No. 3
First-principles (PBE-GGA) data for a geometry-optimized InBO3 structure, as listed in the Alexandria database.

Cell and atoms, written as POSCAR:
```
InBO3
1.0
-1.589 2.643 -2.764
-2.032 -3.119 -1.815
-3.240 0.660 2.494
B O In
1 3 1
Direct
0.500 0.500 0.500
0.000 0.500 0.000
0.000 0.000 0.500
0.500 0.000 0.000
0.000 0.000 0.000
```

Properties
uncorrected formation energy = 3.6 eV per formula unit
N(E_F) = 5.56 states/eV/f.u.
space group = No. 221

=====

No. 4
First-principles (PBE-GGA) data for a geometry-optimized InB2O4 structure, as listed in the Alexandria database.

Cell and atoms, written as POSCAR:
```
InB2O4
1.0
-3.605 -0.753 -3.137
-0.873 -4.120 2.384
-1.960 6.427 4.863
In B O
2 4 8
Direct
0.190 0.810 0.499
0.943 0.056 0.000
0.662 0.354 0.705
0.634 0.809 0.239
0.645 0.339 0.296
0.192 0.365 0.761
0.924 0.405 0.419
0.482 0.557 0.248
0.956 0.516 0.785
0.596 0.076 0.581
0.484 0.045 0.216
0.182 0.084 0.755
0.444 0.517 0.753
0.915 0.817 0.244
```

Properties
uncorrected formation energy = -13.7 eV per formula unit
N(E_F) = 0.00 states/eV/f.u.
space group = No. 1

=====

No. 5
First-principles (PBE-GGA) data for a geometry-optimized InBO3 structure, as listed in the Alexandria database.

Cell and atoms, written as POSCAR:
```
InBO3
1.0
-0.392 0.290 -3.391
1.352 -3.119 -0.424
-3.123 -1.387 0.243
B O In
1 3 1
Direct
0.000 0.000 0.000
0.000 0.500 0.000
0.000 0.000 0.500
0.500 0.000 0.000
0.500 0.500 0.500
```

Properties
uncorrected formation energy = -4.3 eV per formula unit
N(E_F) = 0.57 states/eV/f.u.
space group = No. 221

=====

No. 6
First-principles (PBE-GGA) data for a geometry-optimized In2BO4 structure, as listed in the Alexandria database.

Cell and atoms, written as POSCAR:
```
In2BO4
1.0
-2.349 -1.366 2.260
2.171 -7.968 -2.559
3.521 0.619 1.270
In B O
2 1 4
Direct
0.664 0.662 0.328
0.336 0.338 0.672
0.000 0.000 0.000
0.918 0.131 0.837
0.082 0.869 0.163
0.655 0.384 0.310
0.345 0.616 0.690
```

Properties
uncorrected formation energy = -10.5 eV per formula unit
N(E_F) = 1.03 states/eV/f.u.
space group = No. 12

=====

No. 7
First-principles (PBE-GGA) data for a geometry-optimized InB3O6 structure, as listed in the Alexandria database.

Cell and atoms, written as POSCAR:
```
InB3O6
1.0
-0.596 0.196 6.021
5.316 0.224 3.562
0.089 5.725 2.865
In B O
2 6 12
Direct
0.000 0.750 0.250
0.000 0.250 0.750
0.500 0.250 0.750
0.500 0.750 0.250
0.564 0.810 0.810
0.815 0.310 0.310
0.436 0.190 0.190
0.185 0.690 0.690
0.552 0.259 0.949
0.776 0.653 0.653
0.918 0.153 0.153
0.224 0.347 0.347
0.760 0.241 0.551
0.448 0.051 0.741
0.240 0.759 0.449
0.552 0.949 0.259
0.448 0.741 0.051
0.760 0.551 0.241
0.082 0.847 0.847
0.240 0.449 0.759
```

Properties
uncorrected formation energy = -21.2 eV per formula unit
N(E_F) = 0.00 states/eV/f.u.
space group = No. 72

=====

No. 8
First-principles (PBE-GGA) data for a geometry-optimized InBO3 structure, as listed in the Alexandria database.

Cell and atoms, written as POSCAR:
```
InBO3
1.0
-4.553 -0.520 -0.013
0.610 -5.259 -3.135
0.439 -4.024 6.837
In B O
4 4 12
Direct
0.500 0.000 0.000
0.000 0.500 0.500
0.000 0.500 0.000
0.500 0.000 0.500
0.510 0.369 0.250
0.010 0.131 0.750
0.490 0.631 0.750
0.990 0.869 0.250
0.873 0.181 0.902
0.373 0.319 0.402
0.373 0.319 0.098
0.127 0.819 0.402
0.127 0.819 0.098
0.627 0.681 0.598
0.627 0.681 0.902
0.873 0.181 0.598
0.715 0.958 0.250
0.215 0.542 0.750
0.285 0.042 0.750
0.785 0.458 0.250
```

Properties
uncorrected formation energy = -10.0 eV per formula unit
N(E_F) = 0.00 states/eV/f.u.
space group = No. 62

=====

No. 9
First-principles (PBE-GGA) data for a geometry-optimized InBP2O structure, as listed in the Alexandria database.

Cell and atoms, written as POSCAR:
```
InBP2O
1.0
-0.130 -0.887 5.070
-0.611 -5.033 -0.896
3.920 -0.479 0.017
P B O In
2 1 1 1
Direct
0.000 0.500 0.000
0.500 0.000 0.000
0.500 0.500 0.500
0.000 0.000 0.500
0.000 0.000 0.000
```

Properties
uncorrected formation energy = 7.8 eV per formula unit
N(E_F) = 5.85 states/eV/f.u.
space group = No. 123

=====

No. 10
First-principles (PBE-GGA) data for a geometry-optimized In2BP3O12 structure, as listed in the Alexandria database.

Cell and atoms, written as POSCAR:
```
In2BP3O12
1.0
-0.389 8.147 -1.661
-6.940 -4.206 1.853
1.069 1.614 7.666
In B P O
4 2 6 24
Direct
0.667 0.333 0.544
0.333 0.667 0.044
0.333 0.667 0.456
0.667 0.333 0.956
0.000 0.000 0.750
0.000 0.000 0.250
0.042 0.351 0.750
0.649 0.691 0.750
0.309 0.958 0.750
0.958 0.649 0.250
0.351 0.309 0.250
0.691 0.042 0.250
0.943 0.129 0.750
0.871 0.815 0.750
0.185 0.057 0.750
0.057 0.871 0.250
0.129 0.185 0.250
0.815 0.943 0.250
0.873 0.385 0.750
0.615 0.489 0.750
0.511 0.127 0.750
0.127 0.615 0.250
0.385 0.511 0.250
0.489 0.873 0.250
0.152 0.420 0.587
0.580 0.732 0.587
0.268 0.848 0.587
0.848 0.580 0.087
0.420 0.268 0.087
0.732 0.152 0.087
0.848 0.580 0.413
0.420 0.268 0.413
0.732 0.152 0.413
0.152 0.420 0.913
0.580 0.732 0.913
0.268 0.848 0.913
```

Properties
uncorrected formation energy = -37.9 eV per formula unit
N(E_F) = 0.00 states/eV/f.u.
space group = No. 176

=====

No. 11
First-principles (PBE-GGA) data for a geometry-optimized InBP2O structure, as listed in the Alexandria database.

Cell and atoms, written as POSCAR:
```
InBP2O
1.0
-2.946 -4.643 -0.079
3.489 -2.275 3.590
-1.471 0.899 1.999
P B O In
2 1 1 1
Direct
0.000 0.500 0.000
0.500 0.000 0.000
0.000 0.000 0.000
0.000 0.000 0.500
0.500 0.500 0.500
```

Properties
uncorrected formation energy = 0.5 eV per formula unit
N(E_F) = 2.76 states/eV/f.u.
space group = No. 123

=====

No. 12
First-principles (PBE-GGA) data for a geometry-optimized Pa2InBO8 structure, as listed in the Alexandria database.

Cell and atoms, written as POSCAR:
```
Pa2InBO8
1.0
5.114 0.000 0.000
-2.557 4.429 0.000
0.000 0.000 5.941
Pa In B O
2 1 1 8
Direct
0.667 0.333 0.144
0.333 0.667 0.856
0.000 0.000 0.500
0.000 0.000 0.000
0.845 0.689 0.831
0.311 0.155 0.831
0.845 0.155 0.831
0.155 0.311 0.169
0.689 0.845 0.169
0.155 0.845 0.169
0.667 0.333 0.460
0.333 0.667 0.540
```

Properties
uncorrected formation energy = -26.9 eV per formula unit
N(E_F) = 0.00 states/eV/f.u.
space group = No. 164

=====

No. 13
First-principles (PBE-GGA) data for a geometry-optimized PaInB2O6 structure, as listed in the Alexandria database.

Cell and atoms, written as POSCAR:
```
PaInB2O6
1.0
6.467 0.005 0.026
-0.787 6.419 0.026
-1.620 -1.832 6.744
Pa In B O
2 2 4 12
Direct
0.600 0.400 0.250
0.400 0.600 0.750
0.101 0.899 0.250
0.899 0.101 0.750
0.409 0.150 0.767
0.850 0.591 0.733
0.591 0.850 0.233
0.150 0.409 0.267
0.934 0.407 0.249
0.593 0.066 0.251
0.066 0.593 0.751
0.407 0.934 0.749
0.231 0.270 0.138
0.730 0.769 0.362
0.769 0.730 0.862
0.270 0.231 0.638
0.308 0.557 0.420
0.443 0.692 0.080
0.692 0.443 0.580
0.557 0.308 0.920
```

Properties
uncorrected formation energy = -25.2 eV per formula unit
N(E_F) = 0.00 states/eV/f.u.
space group = No. 15

=====

No. 14
First-principles (PBE-GGA) data for a geometry-optimized InB2Pb2O6 structure, as listed in the Alexandria database.

Cell and atoms, written as POSCAR:
```
InB2Pb2O6
1.0
5.481 0.000 0.000
-2.741 5.205 0.012
0.000 -2.989 5.640
In B Pb O
1 2 2 6
Direct
0.500 0.000 0.500
0.001 0.002 0.744
0.999 0.998 0.256
0.707 0.414 0.208
0.293 0.586 0.792
0.853 0.706 0.645
0.129 0.830 0.209
0.299 0.170 0.791
0.871 0.170 0.791
0.701 0.830 0.209
0.147 0.294 0.355
```

Properties
uncorrected formation energy = -18.2 eV per formula unit
N(E_F) = 0.95 states/eV/f.u.
space group = No. 12

=====

No. 15
First-principles (PBE-GGA) data for a geometry-optimized RbIn2B2O6 structure, as listed in the Alexandria database.

Cell and atoms, written as POSCAR:
```
RbIn2B2O6
1.0
-1.610 -5.557 0.672
1.336 -2.421 4.710
-6.007 2.031 -0.098
Rb In B O
1 2 2 6
Direct
0.500 0.000 0.500
0.847 0.374 0.769
0.153 0.626 0.231
0.209 0.703 0.761
0.791 0.297 0.239
0.450 0.685 0.779
0.878 0.436 0.137
0.042 0.853 0.634
0.122 0.564 0.863
0.958 0.147 0.366
0.550 0.315 0.221
```

Properties
uncorrected formation energy = -19.7 eV per formula unit
N(E_F) = 2.14 states/eV/f.u.
space group = No. 2

=====

No. 16
First-principles (PBE-GGA) data for a geometry-optimized Rb2InBO4 structure, as listed in the Alexandria database.

Cell and atoms, written as POSCAR:
```
Rb2InBO4
1.0
-2.034 -4.198 -1.989
4.289 -4.344 -1.679
-1.613 -6.576 9.062
Rb In B O
4 2 2 8
Direct
0.178 0.000 0.644
0.822 0.000 0.356
0.572 0.500 0.856
0.928 0.500 0.144
0.750 0.500 0.500
0.000 0.000 0.000
0.250 0.500 0.500
0.500 0.000 0.000
0.363 0.845 0.078
0.286 0.155 0.922
0.792 0.845 0.922
0.559 0.155 0.078
0.387 0.655 0.422
0.464 0.345 0.578
0.958 0.655 0.578
0.191 0.345 0.422
```

Properties
uncorrected formation energy = -13.0 eV per formula unit
N(E_F) = 0.00 states/eV/f.u.
space group = No. 70

=====

No. 17
First-principles (PBE-GGA) data for a geometry-optimized Rb3InB2O6 structure, as listed in the Alexandria database.

Cell and atoms, written as POSCAR:
```
Rb3InB2O6
1.0
5.543 0.000 0.000
-2.772 4.800 0.000
0.000 0.000 7.154
Rb In B O
3 1 2 6
Direct
0.333 0.667 0.757
0.667 0.333 0.243
0.000 0.000 0.000
0.000 0.000 0.500
0.667 0.333 0.677
0.333 0.667 0.323
0.625 0.813 0.316
0.187 0.375 0.316
0.187 0.813 0.316
0.813 0.625 0.684
0.375 0.187 0.684
0.813 0.187 0.684
```

Properties
uncorrected formation energy = -23.5 eV per formula unit
N(E_F) = 0.00 states/eV/f.u.
space group = No. 164

=====

No. 18
First-principles (PBE-GGA) data for a geometry-optimized InBSO2 structure, as listed in the Alexandria database.

Cell and atoms, written as POSCAR:
```
InBSO2
1.0
3.370 0.000 0.000
0.000 6.339 0.000
0.000 0.000 3.370
S B O In
1 1 2 1
Direct
0.500 0.500 0.500
0.000 0.000 0.000
0.000 0.000 0.500
0.500 0.000 0.000
0.000 0.500 0.000
```

Properties
uncorrected formation energy = -0.5 eV per formula unit
N(E_F) = 0.55 states/eV/f.u.
space group = No. 123

=====

No. 19
First-principles (PBE-GGA) data for a geometry-optimized Sc2InBO structure, as listed in the Alexandria database.

Cell and atoms, written as POSCAR:
```
Sc2InBO
1.0
4.656 0.000 0.000
0.000 4.185 0.000
0.000 0.000 4.656
Sc B O In
2 1 1 1
Direct
0.000 0.000 0.500
0.500 0.000 0.000
0.000 0.000 0.000
0.500 0.500 0.500
0.000 0.500 0.000
```

Properties
uncorrected formation energy = -0.6 eV per formula unit
N(E_F) = 2.59 states/eV/f.u.
space group = No. 123

=====

No. 20
First-principles (PBE-GGA) data for a geometry-optimized ScInBO2 structure, as listed in the Alexandria database.

Cell and atoms, written as POSCAR:
```
ScInBO2
1.0
-2.097 2.453 -2.417
-3.545 -3.282 -0.256
-1.770 1.660 3.220
Sc B O In
1 1 2 1
Direct
0.000 0.000 0.000
0.000 0.500 0.000
0.000 0.000 0.500
0.500 0.000 0.000
0.500 0.500 0.500
```

Properties
uncorrected formation energy = -3.1 eV per formula unit
N(E_F) = 2.35 states/eV/f.u.
space group = No. 123